No. 1
Density functional theory data (GGA-PBE) for a relaxed Ho3ThN4 crystal.

a b c (Å): 6.071 6.071 3.517
angles (deg): 90.00 90.00 109.32
Positions (direct):
Ho 0.000 0.000 0.000
Ho 0.000 0.500 0.500
Ho 0.500 0.000 0.500
Th 0.500 0.500 0.000
N 0.246 0.246 0.500
N 0.250 0.750 0.000
N 0.750 0.250 0.000
N 0.754 0.754 0.500

Values from the calculation:
formation energy from raw total energies	-163.5	kJ per mole of atoms



No. 2
Density functional theory data (GGA-PBE) for a relaxed SmInCu2 crystal.

a b c (Å): 4.654 4.654 3.717
angles (deg): 90.00 90.00 90.00
Positions (direct):
Sm 0.000 0.000 0.000
In 0.500 0.500 0.000
Cu 0.000 0.500 0.500
Cu 0.500 0.000 0.500

Values from the calculation:
energy relative to the elements	-0.09	eV per atom



No. 3
Density functional theory data (GGA-PBE) for a relaxed HoNbIr2 crystal.

a b c (Å): 5.127 5.127 5.127
angles (deg): 51.78 51.78 51.78
Positions (direct):
Ho 0.000 0.000 0.000
Nb 0.500 0.500 0.500
Ir 0.222 0.222 0.222
Ir 0.778 0.778 0.778

Values from the calculation:
energy relative to the elements	-0.48	eV per atom



No. 4
Density functional theory data (GGA-PBE) for a relaxed Ce2CuBPt6 crystal.

a b c (Å): 13.388 13.388 13.388
angles (deg): 24.43 24.43 24.43
Positions (direct):
Ce 0.107 0.107 0.107
Ce 0.276 0.276 0.276
Ce 0.724 0.724 0.724
Ce 0.893 0.893 0.893
Cu 0.419 0.419 0.419
Cu 0.581 0.581 0.581
B 0.000 0.000 0.000
B 0.500 0.500 0.500
Pt 0.116 0.644 0.644
Pt 0.204 0.204 0.692
Pt 0.204 0.692 0.204
Pt 0.308 0.796 0.796
Pt 0.356 0.356 0.884
Pt 0.356 0.884 0.356
Pt 0.644 0.116 0.644
Pt 0.644 0.644 0.116
Pt 0.692 0.204 0.204
Pt 0.796 0.308 0.796
Pt 0.796 0.796 0.308
Pt 0.884 0.356 0.356

Values from the calculation:
energy relative to the elements	-0.78	eV per atom



No. 5
Density functional theory data (GGA-PBE) for a relaxed CeSiOs crystal.

a b c (Å): 4.206 4.206 6.804
angles (deg): 90.00 90.00 90.00
Positions (direct):
Ce 0.250 0.250 0.180
Ce 0.750 0.750 0.820
Si 0.250 0.250 0.689
Si 0.750 0.750 0.311
Os 0.250 0.750 0.500
Os 0.750 0.250 0.500

Values from the calculation:
formation energy from raw total energies	-61.5	kJ per mole of atoms



No. 6
Density functional theory data (GGA-PBE) for a relaxed Rb2SnBiO crystal.

a b c (Å): 7.803 4.654 9.825
angles (deg): 90.00 103.39 90.00
Positions (direct):
Rb 0.080 0.250 0.346
Rb 0.210 0.750 0.044
Rb 0.790 0.250 0.956
Rb 0.920 0.750 0.654
Sn 0.317 0.250 0.786
Sn 0.683 0.750 0.214
Bi 0.421 0.750 0.630
Bi 0.579 0.250 0.370
O 0.074 0.250 0.829
O 0.926 0.750 0.171

Values from the calculation:
formation energy from raw total energies	-72.0	kJ per mole of atoms



No. 7
Density functional theory data (GGA-PBE) for a relaxed BaLi2Ir crystal.

a b c (Å): 4.434 4.434 4.484
angles (deg): 90.00 90.00 90.00
Positions (direct):
Ba 0.000 0.000 0.000
Li 0.000 0.500 0.500
Li 0.500 0.000 0.500
Ir 0.500 0.500 0.000

Values from the calculation:
energy relative to the elements	0.25	eV per atom



No. 8
Density functional theory data (GGA-PBE) for a relaxed LaZr2Cu crystal.

a b c (Å): 5.736 5.736 5.736
angles (deg): 135.42 135.42 64.88
Positions (direct):
La 0.000 0.000 0.000
Zr 0.250 0.750 0.500
Zr 0.750 0.250 0.500
Cu 0.500 0.500 0.000

Values from the calculation:
energy relative to the elements	0.22	eV per atom



No. 9
Density functional theory data (GGA-PBE) for a relaxed YCo2Au crystal.

a b c (Å): 4.101 4.101 3.845
angles (deg): 90.00 90.00 90.00
Positions (direct):
Y 0.000 0.000 0.000
Co 0.000 0.500 0.500
Co 0.500 0.000 0.500
Au 0.500 0.500 0.000

Values from the calculation:
energy relative to the elements	-0.07	eV per atom



No. 10
Density functional theory data (GGA-PBE) for a relaxed MgCrPb2 crystal.

a b c (Å): 3.522 3.880 7.081
angles (deg): 90.00 91.06 90.00
Positions (direct):
Mg 0.000 0.000 0.000
Cr 0.000 0.000 0.500
Pb 0.499 0.500 0.737
Pb 0.501 0.500 0.263

Values from the calculation:
energy relative to the elements	0.28	eV per atom



No. 11
Density functional theory data (GGA-PBE) for a relaxed InTe2N2 crystal.

a b c (Å): 4.369 4.369 6.364
angles (deg): 90.00 90.00 90.00
Positions (direct):
In 0.000 0.000 0.000
Te 0.000 0.000 0.500
Te 0.500 0.500 0.500
N 0.000 0.500 0.000
N 0.500 0.000 0.000

Values from the calculation:
formation energy from raw total energies	132.4	kJ per mole of atoms



No. 12
Density functional theory data (GGA-PBE) for a relaxed SmMnFeGe2 crystal.

a b c (Å): 6.036 6.036 6.036
angles (deg): 141.45 141.45 55.65
Positions (direct):
Sm 0.000 0.000 0.000
Mn 0.250 0.750 0.500
Fe 0.750 0.250 0.500
Ge 0.376 0.376 0.000
Ge 0.624 0.624 0.000

Values from the calculation:
energy relative to the elements	-0.48	eV per atom



No. 13
Density functional theory data (GGA-PBE) for a relaxed TaCuSi2 crystal.

a b c (Å): 2.715 2.715 7.953
angles (deg): 90.00 90.00 90.00
Positions (direct):
Ta 0.000 0.000 0.000
Cu 0.000 0.000 0.500
Si 0.500 0.500 0.259
Si 0.500 0.500 0.741

Values from the calculation:
formation energy from raw total energies	12.8	kJ per mole of atoms



No. 14
Density functional theory data (GGA-PBE) for a relaxed WAuBr crystal.

a b c (Å): 7.063 7.063 7.063
angles (deg): 155.03 155.03 35.60
Positions (direct):
W 0.000 0.000 0.000
Au 0.629 0.629 0.000
Br 0.374 0.374 0.000

Values from the calculation:
formation energy from raw total energies	61.4	kJ per mole of atoms



No. 15
Density functional theory data (GGA-PBE) for a relaxed LiCd2In2Ag crystal.

a b c (Å): 4.340 9.108 6.493
angles (deg): 90.00 90.00 90.00
Positions (direct):
Li 0.000 0.166 0.000
Li 0.000 0.834 0.500
Cd 0.000 0.494 0.503
Cd 0.000 0.506 0.003
Cd 0.500 0.322 0.764
Cd 0.500 0.678 0.264
In 0.000 0.145 0.508
In 0.000 0.855 0.008
In 0.500 0.323 0.243
In 0.500 0.677 0.743
Ag 0.500 0.000 0.254
Ag 0.500 0.000 0.754

Values from the calculation:
energy relative to the elements	-0.09	eV per atom



No. 16
Density functional theory data (GGA-PBE) for a relaxed PmB6Ir12 crystal.

a b c (Å): 6.553 6.553 6.553
angles (deg): 104.00 104.00 104.00
Positions (direct):
Pm 0.000 0.000 0.000
B 0.230 0.230 0.666
B 0.230 0.666 0.230
B 0.334 0.770 0.770
B 0.666 0.230 0.230
B 0.770 0.334 0.770
B 0.770 0.770 0.334
Ir 0.135 0.500 0.865
Ir 0.135 0.865 0.500
Ir 0.185 0.446 0.446
Ir 0.446 0.185 0.446
Ir 0.446 0.446 0.185
Ir 0.500 0.135 0.865
Ir 0.500 0.865 0.135
Ir 0.554 0.554 0.815
Ir 0.554 0.815 0.554
Ir 0.815 0.554 0.554
Ir 0.865 0.135 0.500
Ir 0.865 0.500 0.135

Values from the calculation:
energy relative to the elements	-0.27	eV per atom



No. 17
Density functional theory data (GGA-PBE) for a relaxed CdNiCl2 crystal.

a b c (Å): 6.587 6.587 6.587
angles (deg): 147.17 147.17 47.11
Positions (direct):
Cd 0.000 0.000 0.000
Ni 0.750 0.250 0.500
Cl 0.250 0.750 0.500
Cl 0.500 0.500 0.000

Values from the calculation:
formation energy from raw total energies	1.5	kJ per mole of atoms



No. 18
Density functional theory data (GGA-PBE) for a relaxed LaTlOs2 crystal.

a b c (Å): 5.656 5.656 3.043
angles (deg): 104.84 104.84 112.75
Positions (direct):
La 0.000 0.000 0.000
Tl 0.500 0.500 0.000
Os 0.000 0.500 0.500
Os 0.500 0.000 0.500

Values from the calculation:
energy relative to the elements	0.75	eV per atom



No. 19
Density functional theory data (GGA-PBE) for a relaxed Zr4TcPt crystal.

a b c (Å): 7.716 7.716 7.716
angles (deg): 35.22 35.22 35.22
Positions (direct):
Zr 0.123 0.123 0.123
Zr 0.372 0.372 0.372
Zr 0.628 0.628 0.628
Zr 0.877 0.877 0.877
Tc 0.000 0.000 0.000
Pt 0.500 0.500 0.500

Values from the calculation:
energy relative to the elements	-0.28	eV per atom



No. 20
Density functional theory data (GGA-PBE) for a relaxed La2Hg crystal.

a b c (Å): 6.483 6.483 6.483
angles (deg): 60.00 60.00 60.00
Positions (direct):
La 0.000 0.000 0.000
La 0.000 0.000 0.500
La 0.000 0.500 0.000
La 0.500 0.000 0.000
Hg 0.375 0.375 0.375
Hg 0.625 0.625 0.625

Values from the calculation:
energy relative to the elements	0.16	eV per atom



Number 1: energy -8.501 eV per atom, Fermi-level density of states 1.70 states/eV per cell. Number 2: energy -4.002 eV per atom, Fermi-level density of states 2.25 states/eV per cell. Number 3: energy -8.572 eV per atom, Fermi-level density of states 2.63 states/eV per cell. Number 4: energy -6.664 eV per atom, Fermi-level density of states 25.43 states/eV per cell. Number 5: energy -8.166 eV per atom, Fermi-level density of states 8.06 states/eV per cell. Number 6: energy -3.702 eV per atom, Fermi-level density of states 0.38 states/eV per cell. Number 7: energy -3.406 eV per atom, Fermi-level density of states 3.02 states/eV per cell. Number 8: energy -6.308 eV per atom, Fermi-level density of states 5.44 states/eV per cell. Number 9: energy -6.056 eV per atom, Fermi-level density of states 4.81 states/eV per cell. Number 10: energy -4.375 eV per atom, Fermi-level density of states 2.01 states/eV per cell. Number 11: energy -3.763 eV per atom, Fermi-level density of states 3.21 states/eV per cell. Number 12: energy -6.797 eV per atom, Fermi-level density of states 2.63 states/eV per cell. Number 13: energy -6.566 eV per atom, Fermi-level density of states 1.56 states/eV per cell. Number 14: energy -5.331 eV per atom, Fermi-level density of states 1.24 states/eV per cell. Number 15: energy -2.104 eV per atom, Fermi-level density of states 3.64 states/eV per cell. Number 16: energy -8.229 eV per atom, Fermi-level density of states 13.90 states/eV per cell. Number 17: energy -2.582 eV per atom, Fermi-level density of states 2.25 states/eV per cell. Number 18: energy -6.687 eV per atom, Fermi-level density of states 3.02 states/eV per cell. Number 19: energy -8.709 eV per atom, Fermi-level density of states 6.77 states/eV per cell. Number 20: energy -3.230 eV per atom, Fermi-level density of states 8.63 states/eV per cell.